Here is a relaxed Tb2HoTm5In crystal from Alexandria via LeMat-Bulk. Energies are from PBE.

As for the energy relative to the elements: 0.0 eV per formula unit. The value obtained for the final energy is -155.82 eV per cell.

It has space group Cmcm (No. 63), with a = 5.2583 Å, b = 20.2022 Å, c = 10.2982 Å, α = 90.00°, β = 90.00° and γ = 90.00°. The inequivalent atoms are Tb at (0.0000, 0.1164, 0.0365), Ho at (0.0000, 0.2094, 0.7500), Tm at (0.0000, 0.0089, 0.7500), Tm at (0.0000, 0.2876, 0.0527), Tm at (0.0000, 0.3822, 0.7500), Tm at (0.0000, 0.5000, 0.0000) and In at (0.0000, 0.4035, 0.2500).

=====

Here is a relaxed CeDy2FeN4 crystal from Alexandria via LeMat-Bulk. Energies are from PBE.

The value obtained for the final energy is -264.73 eV per cell. The energy relative to the elements, uncorrected comes out at -1.160 eV/atom.

It has space group Cmcm (No. 63), with a = 3.3723 Å, b = 11.3278 Å, c = 11.4879 Å, α = 90.00°, β = 90.00° and γ = 90.00°. The inequivalent atoms are Ce at (0.0000, 0.1050, 0.2500), Dy at (0.0000, 0.3683, 0.0479), Fe at (0.0000, 0.1572, 0.7500), N at (0.0000, 0.0000, 0.0000), N at (0.0000, 0.2717, 0.6327) and N at (0.0000, 0.4309, 0.2500).

=====

Here is a relaxed SrY2Ta crystal from Alexandria via LeMat-Bulk. Energies are from PBE.

As for the energy relative to the elements: 2.9 eV per formula unit. The value obtained for the final energy is -94.13 eV per cell. The value obtained for the energy relative to the lowest polymorph listed for this composition is 374 meV per atom.

It has space group F-43m (No. 216), with a = 7.8292 Å, b = 7.8292 Å, c = 7.8292 Å, α = 90.00°, β = 90.00° and γ = 90.00°. The inequivalent atoms are Sr at (0.0000, 0.0000, 0.0000), Y at (0.0000, 0.0000, 0.5000), Y at (0.2500, 0.2500, 0.7500) and Ta at (0.2500, 0.2500, 0.2500).

=====

Here is a relaxed NaSiAu2Br crystal from Alexandria via LeMat-Bulk. Energies are from PBE.

The value obtained for the final energy is -11.37 eV per cell. The value obtained for the energy relative to the lowest polymorph listed for this composition is 0 meV per atom. The energy relative to the elements, uncorrected comes out at 0.720 eV/atom.

It has space group P4/mmm (No. 123), with a = 5.2167 Å, b = 5.2167 Å, c = 5.0216 Å, α = 90.00°, β = 90.00° and γ = 90.00°. The inequivalent atoms are Na at (0.0000, 0.0000, 0.0000), Si at (0.5000, 0.5000, 0.0000), Au at (0.0000, 0.5000, 0.5000) and Br at (0.0000, 0.0000, 0.5000).

=====

Here is a relaxed Zr3Cd2 crystal from Alexandria via LeMat-Bulk. Energies are from PBE.

As for the energy relative to the elements: 1.4 eV per formula unit. The value obtained for the final energy is -26.08 eV per cell. The value obtained for the energy relative to the lowest polymorph listed for this composition is 391 meV per atom.

It has space group P-3m1 (No. 164), with a = 4.8229 Å, b = 4.8229 Å, c = 5.9952 Å, α = 90.00°, β = 90.00° and γ = 120.00°. The inequivalent atoms are Zr at (0.0000, 0.0000, 0.0000), Zr at (0.3333, 0.6667, 0.3548) and Cd at (0.3333, 0.6667, 0.8453).

=====

Here is a relaxed SiHg2S4 crystal from Alexandria via LeMat-Bulk. Energies are from PBE.

The value obtained for the final energy is -50.12 eV per cell. The energy relative to the elements, uncorrected comes out at -0.360 eV/atom.

It has space group I-42m (No. 121), with a = 5.9644 Å, b = 5.9644 Å, c = 10.0823 Å, α = 90.00°, β = 90.00° and γ = 90.00°. The inequivalent atoms are Si at (0.0000, 0.0000, 0.0000), Hg at (0.0000, 0.5000, 0.2500) and S at (0.2234, 0.2234, 0.1019).

=====

Here is a relaxed Mg2ReSb2 crystal from Alexandria via LeMat-Bulk. Energies are from PBE.

The value obtained for the final energy is -45.47 eV per cell. The energy relative to the elements, uncorrected comes out at 0.230 eV/atom.

It has space group P4/mbm (No. 127), with a = 6.9178 Å, b = 6.9178 Å, c = 4.6366 Å, α = 90.00°, β = 90.00° and γ = 90.00°. The inequivalent atoms are Mg at (0.1745, 0.3255, 0.0000), Re at (0.0000, 0.0000, 0.5000) and Sb at (0.1463, 0.6463, 0.5000).

=====

Here is a relaxed CdIn4 crystal from Alexandria via LeMat-Bulk. Energies are from PBE.

As for the energy relative to the elements: 0.6 eV per formula unit. The value obtained for the final energy is -22.50 eV per cell. The value obtained for the energy relative to the lowest polymorph listed for this composition is 89 meV per atom.

It has space group I4/mmm (No. 139), with a = 4.3127 Å, b = 4.3127 Å, c = 15.4376 Å, α = 90.00°, β = 90.00° and γ = 90.00°. The inequivalent atoms are Cd at (0.0000, 0.0000, 0.0000), In at (0.0000, 0.0000, 0.4029) and In at (0.0000, 0.5000, 0.2500).